# 1
TbPuAl4 GGA-PBE relaxed; total energy = -36.3 eV/cell; SG = F-43m; V = 20.23 A^3/atom; total magnetic moment = 6.06 μB per formula unit; formation energy from the elements = -396 meV per atom
1.0
-0.278 -5.364 -1.427
1.266 -1.567 -5.180
4.663 -2.861 -0.976
Al Tb Pu
4 1 1
Cartesian
3.667 -3.444 -4.025
2.898 -5.335 -2.156
1.207 -4.691 -4.249
3.529 -6.115 -4.735
0.000 0.000 0.000
1.413 -2.448 -1.896

=====

# 2
Cr3W GGA-PBE relaxed; total energy = -80.8 eV/cell; SG = Pmmn; V = 13.16 A^3/atom; total magnetic moment = 0.72 μB per formula unit; formation energy from the elements = 358 meV per atom
1.0
4.379 0.000 0.000
0.000 4.853 0.000
0.000 0.000 4.954
Cr W
6 2
Cartesian
0.000 2.427 1.658
2.189 0.000 3.296
0.000 3.527 4.282
2.189 3.753 0.672
2.189 1.101 0.672
0.000 1.326 4.282
2.189 2.427 3.085
0.000 0.000 1.869